SbSe2 | Alexandria via LeMat-Bulk | PBE | relaxed; spin magnetization = 0.000 Bohr magnetons per cell; symmetry = Cmcm, No. 63; E = -23.05 eV/cell; uncorrected formation energy = -0.14 eV per atom
1.0
7.337 0.003 0.000
-6.217 3.897 0.000
0.000 0.000 5.617
Se Sb
4 2
Direct
0.418 0.582 0.000
0.733 0.267 0.500
0.027 0.973 0.500
0.711 0.289 0.000
0.379 0.621 0.500
0.066 0.934 0.000